1.
Compound: Tm6GeO12
Source: Alexandria
Functional: PBE
Structure: optimized geometry

Structure (POSCAR):
```
Tm6GeO12
1.0
4.813 2.779 3.044
-4.813 2.779 3.044
0.000 -5.558 3.044
Tm Ge O
6 1 12
Direct
0.109 0.793 0.637
0.207 0.363 0.891
0.363 0.891 0.207
0.637 0.109 0.793
0.793 0.637 0.109
0.891 0.207 0.363
0.500 0.500 0.500
0.059 0.914 0.322
0.086 0.678 0.941
0.200 0.434 0.542
0.322 0.059 0.914
0.434 0.542 0.200
0.458 0.800 0.566
0.542 0.200 0.434
0.566 0.458 0.800
0.678 0.941 0.086
0.800 0.566 0.458
0.914 0.322 0.059
0.941 0.086 0.678
```

- calculated density (Mg/m³) = 8.69
- D(E_F) (states/eV/f.u.) = 11.3
- calculated volume (Å³ per cell) = 244.3
- size of the total moment (μB/f.u.) = 2.14
- raw formation energy (eV/atom) = -3.095

2.
Compound: TaV2Ru
Source: Alexandria
Functional: PBE
Structure: optimized geometry

Structure (POSCAR):
```
TaV2Ru
1.0
-3.481 3.481 2.623
3.481 -3.481 2.623
3.481 3.481 -2.623
Ta V Ru
2 4 2
Direct
0.000 0.000 0.000
0.750 0.250 0.500
0.151 0.125 0.526
0.375 0.849 0.974
0.599 0.625 0.474
0.875 0.401 0.026
0.250 0.750 0.500
0.500 0.500 0.000
```

- calculated density (Mg/m³) = 10.03
- D(E_F) (states/eV/f.u.) = 4.8
- energy of formation from the pure elements (eV/atom) = 0.390
- ΔE to the lowest computed polymorph (meV/atom) = 611
- calculated volume (Å³ per cell) = 127.2
- size of the total moment (μB/f.u.) = 0.00

3.
Compound: Hf5Ga3Mo
Source: Alexandria
Functional: PBE
Structure: optimized geometry

Structure (POSCAR):
```
Hf5Ga3Mo
1.0
4.757 -4.078 0.000
4.757 4.078 0.000
-1.038 0.000 9.961
Hf Ga Mo
10 6 2
Direct
0.035 0.035 0.321
0.121 0.518 0.341
0.177 0.823 0.000
0.228 0.228 0.846
0.482 0.879 0.659
0.518 0.121 0.341
0.772 0.772 0.154
0.823 0.177 0.000
0.879 0.482 0.659
0.965 0.965 0.679
0.224 0.224 0.554
0.245 0.245 0.121
0.500 0.500 0.000
0.500 0.500 0.500
0.755 0.755 0.879
0.776 0.776 0.446
0.468 0.468 0.745
0.532 0.532 0.255
```

- calculated density (Mg/m³) = 10.29
- D(E_F) (states/eV/f.u.) = 7.2
- energy of formation from the pure elements (eV/atom) = 0.170
- calculated volume (Å³ per cell) = 386.4
- size of the total moment (μB/f.u.) = 0.00

Which of these has the lowest D(E_F)?
TaV2Ru

Among the records above, which one has the highest size of the total moment?
Tm6GeO12